# 1
# SrBeNbIr

An optimized crystal structure of SrBeNbIr (PBE-GGA, OQMD).

Lattice parameters (Å, degrees): 4.625 4.625 4.625 60.00 60.00 60.00
Element x y z (fractional)
Be 0.750 0.750 0.750
Ir 0.000 0.000 0.000
Nb 0.500 0.500 0.500
Sr 0.250 0.250 0.250

Output
Energy above the most stable polymorph in this dataset (meV per atom): 520.0
Total DFT energy (no corrections) (Ry/atom): -0.3854



# 2
# ZnCuReB

An optimized crystal structure of ZnCuReB (PBE-GGA, OQMD).

Lattice parameters (Å, degrees): 4.108 4.108 4.108 60.00 60.00 60.00
Element x y z (fractional)
B 0.000 0.000 0.000
Cu 0.750 0.750 0.750
Re 0.500 0.500 0.500
Zn 0.250 0.250 0.250

Output
Energy above the most stable polymorph in this dataset (meV per atom): 553.0
Total DFT energy (no corrections) (Ry/atom): -0.3522



# 3
# HgSb2Pb2

An optimized crystal structure of HgSb2Pb2 (PBE-GGA, OQMD).

Lattice parameters (Å, degrees): 9.221 9.221 7.349 90.00 90.00 149.92
Element x y z (fractional)
Hg 0.902 0.098 0.110
Hg 0.098 0.902 0.610
Pb 0.529 0.471 0.302
Pb 0.305 0.695 0.423
Pb 0.471 0.529 0.802
Pb 0.695 0.305 0.923
Sb 0.073 0.927 0.013
Sb 0.686 0.314 0.494
Sb 0.927 0.073 0.513
Sb 0.314 0.686 0.994

Output
Total DFT energy (no corrections) (Ry/atom): -0.2318



# 4
# CsCuSnTe3

An optimized crystal structure of CsCuSnTe3 (PBE-GGA, OQMD).

Lattice parameters (Å, degrees): 11.291 4.316 16.818 90.00 90.00 90.00
Element x y z (fractional)
Cs 0.047 0.750 0.168
Cs 0.547 0.750 0.332
Cs 0.453 0.250 0.668
Cs 0.953 0.250 0.832
Cu 0.318 0.250 0.131
Cu 0.818 0.250 0.369
Cu 0.182 0.750 0.631
Cu 0.682 0.750 0.869
Sn 0.647 0.250 0.065
Sn 0.147 0.250 0.435
Sn 0.853 0.750 0.565
Sn 0.353 0.750 0.935
Te 0.197 0.250 0.001
Te 0.452 0.750 0.108
Te 0.781 0.250 0.220
Te 0.281 0.250 0.280
Te 0.952 0.750 0.392
Te 0.697 0.250 0.499
Te 0.303 0.750 0.501
Te 0.048 0.250 0.608
Te 0.719 0.750 0.720
Te 0.219 0.750 0.780
Te 0.548 0.250 0.892
Te 0.803 0.750 0.999

Output
Energy above the most stable polymorph in this dataset (meV per atom): 67.9
Total DFT energy (no corrections) (Ry/atom): -0.2464



# 5
# LuFeSb2

An optimized crystal structure of LuFeSb2 (PBE-GGA, OQMD).

Lattice parameters (Å, degrees): 4.952 4.952 4.952 60.00 60.00 60.00
Element x y z (fractional)
Fe 0.500 0.500 0.500
Lu 0.250 0.250 0.250
Sb 0.000 0.000 0.000
Sb 0.750 0.750 0.750

Output
Energy above the most stable polymorph in this dataset (meV per atom): 0.0
Total DFT energy (no corrections) (Ry/atom): -0.3760



# 6
# SrPaNO

An optimized crystal structure of SrPaNO (PBE-GGA, OQMD).

Lattice parameters (Å, degrees): 5.060 5.060 5.152 90.00 90.00 90.00
Element x y z (fractional)
N 0.000 0.500 0.500
N 0.500 0.000 0.500
O 0.000 0.000 0.000
O 0.500 0.500 0.000
Pa 0.000 0.000 0.500
Pa 0.500 0.500 0.500
Sr 0.500 0.000 0.000
Sr 0.000 0.500 0.000

Output
Energy above the most stable polymorph in this dataset (meV per atom): 0.0
Total DFT energy (no corrections) (Ry/atom): -0.5583



# 7
# Y2AuC

An optimized crystal structure of Y2AuC (PBE-GGA, OQMD).

Lattice parameters (Å, degrees): 6.406 6.406 14.534 102.76 102.76 59.97
Element x y z (fractional)
Au 0.415 0.252 0.250
Au 0.084 0.916 0.250
Au 0.748 0.585 0.250
Au 0.252 0.415 0.750
Au 0.916 0.084 0.750
Au 0.585 0.748 0.750
C 0.667 0.167 0.000
C 0.000 0.500 0.000
C 0.333 0.833 0.000
C 0.833 0.333 0.500
C 0.500 0.000 0.500
C 0.167 0.667 0.500
Y 0.365 0.532 0.095
Y 0.698 0.865 0.095
Y 0.032 0.199 0.095
Y 0.801 0.968 0.405
Y 0.135 0.302 0.405
Y 0.468 0.635 0.405
Y 0.532 0.365 0.595
Y 0.865 0.698 0.595
Y 0.199 0.032 0.595
Y 0.968 0.801 0.905
Y 0.302 0.135 0.905
Y 0.635 0.468 0.905

Output
Total DFT energy (no corrections) (Ry/atom): -0.5055



# 8
# Cu2Ag3

An optimized crystal structure of Cu2Ag3 (PBE-GGA, OQMD).

Lattice parameters (Å, degrees): 4.927 4.927 11.636 98.52 98.52 33.82
Element x y z (fractional)
Ag 0.314 0.314 0.081
Ag 0.605 0.605 0.192
Ag 0.209 0.209 0.395
Ag 0.498 0.498 0.503
Ag 0.788 0.788 0.614
Ag 0.391 0.391 0.819
Cu 0.905 0.905 0.293
Cu 0.088 0.088 0.713
Cu 0.680 0.680 0.892
Cu 0.022 0.022 0.997

Output
Energy above the most stable polymorph in this dataset (meV per atom): 52.8
E_form (eV/atom): 0.0851
Total DFT energy (no corrections) (Ry/atom): -0.2276



# 9
# TbTm2Sn3Pt3

An optimized crystal structure of TbTm2Sn3Pt3 (PBE-GGA, OQMD).

Lattice parameters (Å, degrees): 4.002 7.493 7.493 120.22 90.00 90.00
Element x y z (fractional)
Pt 0.500 0.670 0.332
Pt 0.500 0.332 0.670
Pt 0.000 0.998 0.998
Sn 0.500 0.000 0.259
Sn 0.500 0.740 0.740
Sn 0.500 0.259 0.000
Tb 0.000 0.406 0.406
Tm 0.000 0.595 0.000
Tm 0.000 0.000 0.595

Output
Total DFT energy (no corrections) (Ry/atom): -0.4375



# 10
# ScFeTcB

An optimized crystal structure of ScFeTcB (PBE-GGA, OQMD).

Lattice parameters (Å, degrees): 4.126 4.126 4.126 60.00 60.00 60.00
Element x y z (fractional)
B 0.000 0.000 0.000
Fe 0.750 0.750 0.750
Sc 0.500 0.500 0.500
Tc 0.250 0.250 0.250

Output
Energy above the most stable polymorph in this dataset (meV per atom): 0.0
Total DFT energy (no corrections) (Ry/atom): -0.5542



# 11
# HfCoSn

An optimized crystal structure of HfCoSn (PBE-GGA, OQMD).

Lattice parameters (Å, degrees): 7.115 7.115 7.101 90.00 90.00 120.00
Element x y z (fractional)
Co 0.333 0.667 0.036
Co 0.000 0.000 0.250
Co 0.333 0.667 0.464
Co 0.667 0.333 0.536
Co 0.000 0.000 0.750
Co 0.667 0.333 0.964
Hf 0.401 0.008 0.250
Hf 0.992 0.393 0.250
Hf 0.607 0.599 0.250
Hf 0.008 0.401 0.750
Hf 0.599 0.607 0.750
Hf 0.393 0.992 0.750
Sn 0.732 0.000 0.000
Sn 0.268 0.268 0.000
Sn 0.000 0.732 0.000
Sn 0.000 0.732 0.500
Sn 0.732 0.000 0.500
Sn 0.268 0.268 0.500

Output
Total DFT energy (no corrections) (Ry/atom): -0.5483



# 12
# ZrAg2Ge

An optimized crystal structure of ZrAg2Ge (PBE-GGA, OQMD).

Lattice parameters (Å, degrees): 4.723 4.723 4.723 60.00 60.00 60.00
Element x y z (fractional)
Ag 0.000 0.000 0.000
Ag 0.750 0.750 0.750
Ge 0.500 0.500 0.500
Zr 0.250 0.250 0.250

Output
Total DFT energy (no corrections) (Ry/atom): -0.3549